[1]
The following is a PBE-GGA calculation of SmPa4Sb5 after structural relaxation, from Alexandria.

Unit cell a=9.790 b=9.790 c=6.189 alpha=90.00 beta=90.00 gamma=90.00
Space group I4/m (No. 87)
Asymmetric unit:
Sm (0.000, 0.000, 0.000) [2 per cell]
Pa (0.102, 0.299, 0.500) [8 per cell]
Sb (0.000, 0.000, 0.500) [2 per cell]
Sb (0.100, 0.303, 0.000) [8 per cell]

Computed properties:
Total magnetic moment, μB/f.u.: 0.1
Formation energy without anion corrections, eV/atom: -0.58
E_tot, eV per cell: -138.17
Crystal system: tetragonal


[2]
The following is a PBE-GGA calculation of K2ScAs2 after structural relaxation, from Alexandria.

Unit cell a=7.112 b=7.112 c=5.633 alpha=90.00 beta=90.00 gamma=90.00
Space group P4/mbm (No. 127)
Asymmetric unit:
K (0.169, 0.331, 0.000) [4 per cell]
Sc (0.000, 0.000, 0.500) [2 per cell]
As (0.127, 0.627, 0.500) [4 per cell]

Computed properties:
Energy relative to the elements, kJ/mol of atoms: -45
Total magnetic moment, μB/f.u.: 0.9
E_tot, eV per cell: -40.30
Crystal system: tetragonal


[3]
The following is a PBE-GGA calculation of NaTi2Br6 after structural relaxation, from Alexandria.

Unit cell a=6.6072 b=6.6072 c=6.8730 alpha=90.00 beta=90.00 gamma=120.00
Space group P-31m (No. 162)
Asymmetric unit:
Na (0.0000, 0.0000, 0.0000) [1 per cell]
Ti (0.3333, 0.6667, 0.5000) [2 per cell]
Br (0.0000, 0.3500, 0.7220) [6 per cell]

Computed properties:
Total magnetic moment, μB/f.u.: 3.0
Formation energy without anion corrections, eV/atom: -1.23
E_tot, eV per cell: -38.19
Crystal system: trigonal


[4]
The following is a PBE-GGA calculation of SrRe2Pt after structural relaxation, from Alexandria.

Unit cell a=5.490 b=10.420 c=2.732 alpha=90.00 beta=111.69 gamma=90.00
Space group C2/m (No. 12)
Asymmetric unit:
Sr (0.000, 0.000, 0.000) [2 per cell]
Re (0.250, 0.250, 0.500) [4 per cell]
Pt (0.000, 0.500, 0.000) [2 per cell]

Computed properties:
Energy relative to the elements, kJ/mol of atoms: 70
Total magnetic moment, μB/f.u.: 0.0
E_tot, eV per cell: -59.42
Crystal system: monoclinic


[5]
The following is a PBE-GGA calculation of MnCoRh after structural relaxation, from Alexandria.

Unit cell a=2.668 b=3.596 c=7.836 alpha=90.00 beta=90.00 gamma=90.00
Space group Imm2 (No. 44)
Asymmetric unit:
Mn (0.000, 0.000, 0.000) [2 per cell]
Co (0.000, 0.000, 0.337) [2 per cell]
Rh (0.000, 0.000, 0.671) [2 per cell]

Computed properties:
Energy relative to the elements, kJ/mol of atoms: 1
Total magnetic moment, μB/f.u.: 1.0
E_tot, eV per cell: -47.19
Crystal system: orthorhombic


[6]
The following is a PBE-GGA calculation of Rb3Pm2MnS6 after structural relaxation, from Alexandria.

Unit cell a=7.186 b=11.951 c=8.079 alpha=90.00 beta=108.17 gamma=90.00
Space group C2/m (No. 12)
Asymmetric unit:
Rb (0.000, 0.000, 0.000) [2 per cell]
Rb (0.000, 0.328, 0.000) [4 per cell]
Pm (0.000, 0.163, 0.500) [4 per cell]
Mn (0.000, 0.500, 0.500) [2 per cell]
S (0.207, 0.353, 0.678) [8 per cell]
S (0.233, 0.000, 0.711) [4 per cell]

Computed properties:
Total magnetic moment, μB/f.u.: 4.0
Formation energy without anion corrections, eV/atom: -1.42
E_tot, eV per cell: -126.74
Crystal system: monoclinic


[7]
The following is a PBE-GGA calculation of ReHgBPd2 after structural relaxation, from Alexandria.

Unit cell a=4.801 b=4.801 c=5.312 alpha=90.00 beta=90.00 gamma=90.00
Space group P4/mmm (No. 123)
Asymmetric unit:
Re (0.000, 0.000, 0.000) [1 per cell]
Hg (0.000, 0.000, 0.500) [1 per cell]
B (0.500, 0.500, 0.500) [1 per cell]
Pd (0.000, 0.500, 0.000) [2 per cell]

Computed properties:
Energy relative to the elements, kJ/mol of atoms: 197
Total magnetic moment, μB/f.u.: 0.0
E_tot, eV per cell: -19.60
Crystal system: tetragonal


[8]
The following is a PBE-GGA calculation of Sm2YPt after structural relaxation, from Alexandria.

Unit cell a=7.141 b=9.896 c=6.531 alpha=90.00 beta=90.00 gamma=90.00
Space group Pnma (No. 62)
Asymmetric unit:
Sm (0.181, 0.061, 0.176) [8 per cell]
Y (0.029, 0.250, 0.639) [4 per cell]
Pt (0.114, 0.750, 0.947) [4 per cell]

Computed properties:
Energy relative to the elements, kJ/mol of atoms: -65
Total magnetic moment, μB/f.u.: 0.0
E_tot, eV per cell: -98.49
Crystal system: orthorhombic